No. 1
First-principles (PBE-GGA) data for an optimized crystal structure of AgMoP, as listed in the Alexandria database.

Output
SG: Fmm2
E: -18.26 eV/cell
Energy above the lowest structure with this stoichiometry: 169 meV/atom
N(E_F): 1.30 states/eV/f.u.
Energy of formation: 0.28 eV/atom
Density: 7.70 Mg/m³
Total magnetization: 0.0 Bohr magnetons per cell

Cell lengths 7.1550, 6.9702, 2.8135 Å; angles 82.23, 74.85, 22.93 degrees
With the nearest neighbours (Å) after each atom.
Positions (direct):
P1 0.6871 0.6871 0.3129  2 Mo 2.40
Mo1 0.3167 0.3167 0.6833  2 P 2.40
Ag1 0.9962 0.9962 0.0038  4 Ag 2.81, 2 Mo 2.93, 2 P 3.06

---

No. 2
First-principles (PBE-GGA) data for an optimized crystal structure of SnP4O12, as listed in the Alexandria database.

Output
SG: C2/c
E: -237.59 eV/cell
Energy above the lowest structure with this stoichiometry: 12 meV/atom
N(E_F): 0.00 states/eV/f.u.
E_form (uncorrected): -33.65 eV/f.u.
Density: 3.11 Mg/m³
Total magnetization: 0.3 Bohr magnetons per cell

Cell lengths 7.4324, 7.4324, 10.4546 Å; angles 65.22, 65.22, 69.28 degrees
With the nearest neighbours (Å) after each atom.
Positions (direct):
O1 0.2508 0.5285 0.1492  2 P 1.58-1.62
O2 0.7553 0.2043 0.3970  1 P 1.51
O3 0.8202 0.6490 0.1785  1 P 1.46
O4 0.0971 0.8468 0.4042  1 P 1.50
P1 0.7149 0.6926 0.3194  4 O 1.46-1.63
O5 0.5285 0.2508 0.6492  2 P 1.58-1.62
P2 0.2599 0.7356 0.4768  4 O 1.50-1.59
O6 0.7573 0.8593 0.3450  1 P 1.53
Sn1 0.9517 0.0483 0.2500  6 O 2.03-2.07
O7 0.7405 0.4996 0.4667  2 P 1.59-1.63
O8 0.6490 0.8202 0.6785  1 P 1.46
P3 0.2644 0.7401 0.0232  4 O 1.50-1.59
O9 0.4715 0.7492 0.3508  2 P 1.58-1.62
O10 0.1798 0.3510 0.8215  1 P 1.46
O11 0.2427 0.1407 0.6550  1 P 1.53
O12 0.3510 0.1798 0.3215  1 P 1.46
O13 0.1407 0.2427 0.1550  1 P 1.53
P4 0.7356 0.2599 0.9768  4 O 1.50-1.59
O14 0.8468 0.0971 0.9042  1 P 1.50
P5 0.3074 0.2851 0.1806  4 O 1.46-1.63
P6 0.7401 0.2644 0.5232  4 O 1.50-1.59
O15 0.7492 0.4715 0.8508  2 P 1.58-1.62
P7 0.2851 0.3074 0.6806  4 O 1.46-1.63
O16 0.2447 0.7957 0.6030  1 P 1.51
O17 0.5004 0.2595 0.0333  2 P 1.59-1.63
O18 0.7957 0.2447 0.1030  1 P 1.51
O19 0.8593 0.7573 0.8450  1 P 1.53
O20 0.4996 0.7405 0.9667  2 P 1.59-1.63
O21 0.1532 0.9029 0.0958  1 P 1.50
O22 0.2043 0.7553 0.8970  1 P 1.51
O23 0.2595 0.5004 0.5333  2 P 1.59-1.63
O24 0.9029 0.1532 0.5958  1 P 1.50
Sn2 0.0483 0.9517 0.7500  6 O 2.03-2.07
P8 0.6926 0.7149 0.8194  4 O 1.46-1.63

---

No. 3
First-principles (PBE-GGA) data for an optimized crystal structure of Tm6Pd8Au, as listed in the Alexandria database.

Output
SG: R-3
E: -82.90 eV/cell
N(E_F): 6.21 states/eV/f.u.
Energy of formation: -0.75 eV/atom
Density: 10.57 Mg/m³
Total magnetization: 0.0 Bohr magnetons per cell

Cell lengths 8.1375, 8.1375, 7.3477 Å; angles 56.38, 56.38, 60.00 degrees
With the nearest neighbours (Å) after each atom.
Positions (direct):
Pd1 0.5708 0.1771 0.3149  5 Tm 2.75-2.97, 2 Pd 2.82-2.86, 1 Au 3.06
Tm1 0.3230 0.6049 0.2041  7 Pd 2.75-3.06
Au1 0.0000 0.0000 0.0000  6 Pd 3.06, 6 Tm 3.17
Pd2 0.2916 0.2916 0.1253  3 Pd 2.82, 6 Tm 2.89-3.06
Tm2 0.1320 0.6770 0.7959  7 Pd 2.75-3.06
Pd3 0.0628 0.4292 0.6851  5 Tm 2.75-2.97, 2 Pd 2.82-2.86, 1 Au 3.06
Tm3 0.3951 0.1320 0.7959  7 Pd 2.75-3.06
Pd4 0.9372 0.5708 0.3149  5 Tm 2.75-2.97, 2 Pd 2.82-2.86, 1 Au 3.06
Pd5 0.8229 0.0628 0.6851  5 Tm 2.75-2.97, 2 Pd 2.82-2.86, 1 Au 3.06
Tm4 0.8680 0.3230 0.2041  7 Pd 2.75-3.06
Pd6 0.4292 0.8229 0.6851  5 Tm 2.75-2.97, 2 Pd 2.82-2.86, 1 Au 3.06
Pd7 0.1771 0.9372 0.3149  5 Tm 2.75-2.97, 2 Pd 2.82-2.86, 1 Au 3.06
Tm5 0.6049 0.8680 0.2041  7 Pd 2.75-3.06
Pd8 0.7084 0.7084 0.8747  3 Pd 2.82, 6 Tm 2.89-3.06
Tm6 0.6770 0.3951 0.7959  7 Pd 2.75-3.06

---

No. 4
First-principles (PBE-GGA) data for an optimized crystal structure of MgInRe2, as listed in the Alexandria database.

Output
SG: C2/m
E: -27.25 eV/cell
Energy above the lowest structure with this stoichiometry: 352 meV/atom
N(E_F): 2.47 states/eV/f.u.
Energy of formation: 0.50 eV/atom
Density: 12.66 Mg/m³
Total magnetization: 0.0 Bohr magnetons per cell

Cell lengths 5.2787, 5.4118, 2.7719 Å; angles 80.06, 80.14, 116.35 degrees
With the nearest neighbours (Å) after each atom.
Positions (direct):
In1 0.0000 0.5000 0.5000  2 Mg 2.76, 2 In 2.77, 4 Re 2.82
Re1 0.5000 0.0000 0.5000  4 Re 2.76-2.77, 2 In 2.82, 2 Mg 2.82
Re2 0.0000 0.0000 0.0000  4 Re 2.76-2.77, 2 Mg 2.82, 2 In 2.82
Mg1 0.5000 0.5000 0.0000  2 In 2.76, 2 Mg 2.77, 4 Re 2.82

---

No. 5
First-principles (PBE-GGA) data for an optimized crystal structure of Hf5TiCo6, as listed in the Alexandria database.

Output
SG: C2/m
E: -104.85 eV/cell
N(E_F): 10.45 states/eV/f.u.
Energy of formation: -0.38 eV/atom
Density: 11.78 Mg/m³
Total magnetization: 0.0 Bohr magnetons per cell

Cell lengths 4.4126, 6.2064, 7.6756 Å; angles 66.15, 73.20, 90.00 degrees
With the nearest neighbours (Å) after each atom.
Positions (direct):
Ti1 0.0000 0.0000 0.0000  8 Co 2.60-2.68
Co1 0.8407 0.5968 0.3182  1 Ti 2.60, 7 Hf 2.65-2.84
Hf1 0.6680 0.6678 0.6645  8 Co 2.72-2.76
Co2 0.8408 0.0850 0.3180  1 Ti 2.60, 7 Hf 2.65-2.85
Co3 0.1593 0.4032 0.6818  1 Ti 2.60, 7 Hf 2.65-2.84
Co4 0.5000 0.2444 0.9999  6 Hf 2.66-2.74, 2 Ti 2.68
Hf2 0.3362 0.8362 0.3275  8 Co 2.66-2.85
Hf3 0.3320 0.3322 0.3355  8 Co 2.72-2.76
Hf4 0.0000 0.5000 0.0000  8 Co 2.65-2.72
Co5 0.5000 0.7556 0.0001  6 Hf 2.66-2.74, 2 Ti 2.68
Co6 0.1592 0.9150 0.6820  1 Ti 2.60, 7 Hf 2.65-2.85
Hf5 0.6638 0.1638 0.6725  8 Co 2.66-2.85

---

No. 6
First-principles (PBE-GGA) data for an optimized crystal structure of TcPdRh2, as listed in the Alexandria database.

Output
SG: P-3m1
E: -30.48 eV/cell
Energy above the lowest structure with this stoichiometry: 32 meV/atom
N(E_F): 4.91 states/eV/f.u.
Energy of formation: -0.06 eV/atom
Density: 11.71 Mg/m³
Total magnetization: 0.0 Bohr magnetons per cell

Cell lengths 2.7367, 2.7351, 9.3780 Å; angles 106.99, 81.59, 119.96 degrees
With the nearest neighbours (Å) after each atom.
Positions (direct):
Rh1 0.3567 0.1595 0.2920  3 Tc 2.67, 6 Rh 2.74, 3 Pd 2.81
Pd1 0.0234 0.7530 0.5515  6 Pd 2.74, 6 Rh 2.81
Tc1 0.0231 0.2527 0.0515  6 Rh 2.67, 6 Tc 2.74
Rh2 0.6895 0.3460 0.8111  3 Tc 2.67, 6 Rh 2.74, 3 Pd 2.81